The following is a DFT calculation (GGA-PBE) of crystalline Dy2SO6 at its relaxed geometry.

Cell lengths 4.0410, 13.7252, 4.0354 Å; angles 90.00, 90.00, 90.00 degrees
Last column: nearest neighbours and their distance in Å.
Element x y z (fractional)
Dy (0.0036, 0.8234, 0.7534)  6 O 2.25-2.31
Dy (0.5036, 0.6766, 0.2466)  6 O 2.25-2.31
Dy (0.4964, 0.3234, 0.2466)  6 O 2.25-2.31
Dy (0.9964, 0.1766, 0.7534)  6 O 2.25-2.31
O (0.7789, 0.5584, 0.5212)  1 S 1.47
O (0.3049, 0.0671, 0.0606)  1 S 1.47
O (0.1951, 0.5671, 0.9394)  1 S 1.47
O (0.2789, 0.9416, 0.4788)  1 S 1.47
O (0.2211, 0.4416, 0.5212)  1 S 1.47
O (0.4941, 0.2499, 0.7471)  4 Dy 2.25-2.27
O (0.8049, 0.4329, 0.9394)  1 S 1.47
O (0.7211, 0.0584, 0.4788)  1 S 1.47
O (0.6951, 0.9329, 0.0606)  1 S 1.47
O (0.9941, 0.2501, 0.2529)  4 Dy 2.25-2.27
O (0.5059, 0.7501, 0.7471)  4 Dy 2.25-2.27
O (0.0059, 0.7499, 0.2529)  4 Dy 2.25-2.27
S (0.0000, 0.5000, 0.7319)  4 O 1.47
S (0.5000, 0.0000, 0.2681)  4 O 1.47

Computed properties:
size of the total moment = 0.000 μB per atom
space-group type = P2_12_12, No. 18
relative energy among the computed polymorphs = 55 meV per atom
uncorrected energy = -7.432 eV/atom



The following is a DFT calculation (GGA-PBE) of crystalline PrHoLu at its relaxed geometry.

Cell lengths 5.4245, 5.4245, 5.4245 Å; angles 60.00, 60.00, 60.00 degrees
Last column: nearest neighbours and their distance in Å.
Element x y z (fractional)
Pr (0.0000, 0.0000, 0.0000)  4 Lu 3.32
Lu (0.2500, 0.2500, 0.2500)  4 Ho 3.32, 4 Pr 3.32
Ho (0.5000, 0.5000, 0.5000)  4 Lu 3.32

Computed properties:
size of the total moment = 0.007 μB per atom
energy of formation from the pure elements = 0.70 eV per atom
space-group type = F-43m, No. 216
relative energy among the computed polymorphs = 0 meV per atom
uncorrected energy = -3.925 eV/atom



The following is a DFT calculation (GGA-PBE) of crystalline BeHg at its relaxed geometry.

Cell lengths 3.9102, 3.9102, 3.9102 Å; angles 60.00, 60.00, 60.00 degrees
Last column: nearest neighbours and their distance in Å.
Element x y z (fractional)
Hg (0.2500, 0.2500, 0.2500)  4 Be 2.39
Be (0.0000, 0.0000, 0.0000)  4 Hg 2.39

Computed properties:
space-group type = F-43m, No. 216
relative energy among the computed polymorphs = 213 meV per atom
uncorrected energy = -1.241 eV/atom